# RbIn6Te8 | Alexandria via LeMat-Bulk | GGA-PBE | optimized geometry
# Formation energy without anion corrections (eV/f.u.): -0.50
# DFT total energy (eV/atom): -2.869
# SG: Fm-3m, No. 225
# M_tot (μB per formula unit): 0.0
# Calculated volume (Å³/f.u.): 751.7
data_RbIn6Te8
_chemical_formula_sum 'Rb1 In6 Te8'
_cell_length_a 10.206
_cell_length_b 10.206
_cell_length_c 10.206
_cell_angle_alpha 60.00
_cell_angle_beta 60.00
_cell_angle_gamma 60.00
_symmetry_space_group_name_H-M 'P 1'
_symmetry_Int_Tables_number 1
_symmetry_space_group_name_Hall 'P 1'
loop_
_atom_site_label
_atom_site_type_symbol
_atom_site_fract_x
_atom_site_fract_y
_atom_site_fract_z
In1 In 0.500 0.500 0.000
In2 In 0.000 0.500 0.000
In3 In 0.500 0.000 0.500
In4 In 0.000 0.000 0.500
In5 In 0.000 0.500 0.500
In6 In 0.500 0.000 0.000
Te1 Te 0.142 0.142 0.574
Te2 Te 0.426 0.858 0.858
Te3 Te 0.858 0.426 0.858
Te4 Te 0.858 0.858 0.426
Te5 Te 0.142 0.574 0.142
Te6 Te 0.142 0.142 0.142
Te7 Te 0.574 0.142 0.142
Te8 Te 0.858 0.858 0.858
Rb1 Rb 0.000 0.000 0.000